(1)
VASP calculation (PBE) on a relaxed PaTcSnRu crystal.

a b c (Å): 4.7432 4.7432 4.7432
angles (deg): 60.00 60.00 60.00
With the nearest neighbours (Å) after each atom.
Sites, in units of the cell vectors:
Ru (0.2500, 0.2500, 0.2500)  4 Pa 2.90, 4 Sn 2.90
Pa (0.0000, 0.0000, 0.0000)  4 Tc 2.90, 4 Ru 2.90
Sn (0.5000, 0.5000, 0.5000)  4 Ru 2.90, 4 Tc 2.90
Tc (0.7500, 0.7500, 0.7500)  4 Sn 2.90, 4 Pa 2.90



(2)
VASP calculation (PBE) on a relaxed CuHg2W crystal.

a b c (Å): 4.2629 2.8634 6.0628
angles (deg): 76.33 90.00 90.00
With the nearest neighbours (Å) after each atom.
Sites, in units of the cell vectors:
Cu (0.5000, 0.9570, 0.7106)  3 Hg 2.62-2.68, 4 W 2.76-2.77, 2 Cu 2.86
Hg (0.0000, 0.8196, 0.9865)  2 Cu 2.68, 2 Hg 2.86
Hg (0.5000, 0.1797, 0.2666)  1 Cu 2.62, 2 Hg 2.86
W (0.0000, 0.5437, 0.5362)  4 Cu 2.76-2.77, 2 W 2.86, 6 Hg 3.01-3.02



DOS at the Fermi energy per entry: 0.383, 0.970 states/eV/atom
Calculated formation energy per entry: -338, 686 meV per atom
Total moment per entry: 0.00, 0.00 μB/f.u.